Ta2VH, optimized geometry, DFT PBE; offset from the most stable computed form = 0.3324 eV/atom; space-group type = Fm-3m
1.0
-2.065 -3.418 -1.648
-3.168 -1.897 2.241
-4.098 0.378 -1.311
Ta H V
2 1 1
direct
0.750 0.750 0.750 Ta
0.250 0.250 0.250 Ta
0.000 0.000 0.000 H
0.500 0.500 0.500 V

=====

Ta2TcAs, optimized geometry, DFT PBE; space-group type = P4mm
1.0
3.282 0.000 0.000
0.000 3.282 0.000
0.000 0.000 6.229
Ta Tc As
2 1 1
direct
0.500 0.500 0.272 Ta
0.000 0.000 0.976 Ta
0.000 0.000 0.489 Tc
0.500 0.500 0.763 As

=====

Number 1: VASP energy -33.26 eV per formula unit. Number 2: VASP energy -39.25 eV per formula unit.